Record 1
# Ho3TlHg5

Crystalline Ho3TlHg5 at its relaxed geometry (PBE, the Alexandria database).

The value obtained for the density of states at the Fermi level is 9.25 states/eV/cell. The calculation puts the energy relative to the elements at -372 meV per atom. As for the total energy: -2.328 eV per atom.

The space group is P6_3/mcm (No. 193) and the conventional cell measures 8.9619, 8.9619 and 6.3787 Å, with angles of 90.00, 90.00 and 120.00 degrees. The asymmetric unit holds Ho at (0.0000, 0.3363, 0.2500), Tl at (0.0000, 0.0000, 0.0000), Hg at (0.0000, 0.3341, 0.7500) and Hg at (0.3333, 0.6667, 0.0000).



Record 2
# Ho6Tl2Hg

Crystalline Ho6Tl2Hg at its relaxed geometry (PBE, the Alexandria database).

The value obtained for the density of states at the Fermi level is 22.96 states/eV/cell. The calculation puts the energy relative to the elements at -55 meV per atom. As for the total energy: -3.666 eV per atom.

The space group is Immm (No. 71) and the conventional cell measures 5.1346, 7.2456 and 15.4051 Å, with angles of 90.00, 90.00 and 90.00 degrees. The asymmetric unit holds Ho at (0.0000, 0.2418, 0.0000), Ho at (0.0000, 0.2541, 0.3357), Tl at (0.0000, 0.5000, 0.1664) and Hg at (0.0000, 0.5000, 0.5000).



Record 3
# Ho5TlHg3

Crystalline Ho5TlHg3 at its relaxed geometry (PBE, the Alexandria database).

The value obtained for the density of states at the Fermi level is 16.81 states/eV/cell. The calculation puts the energy relative to the elements at -375 meV per atom. As for the total energy: -3.282 eV per atom.

The space group is P6_3/mcm (No. 193) and the conventional cell measures 9.1032, 9.1032 and 6.6941 Å, with angles of 90.00, 90.00 and 120.00 degrees. The asymmetric unit holds Ho at (0.0000, 0.2972, 0.2500), Ho at (0.3333, 0.6667, 0.0000), Tl at (0.0000, 0.0000, 0.0000) and Hg at (0.0000, 0.3735, 0.7500).



Record 4
# Ho12Tl2Hg5

Crystalline Ho12Tl2Hg5 at its relaxed geometry (PBE, the Alexandria database).

The value obtained for the density of states at the Fermi level is 38.87 states/eV/cell. The calculation puts the energy relative to the elements at -124 meV per atom. As for the total energy: -3.344 eV per atom.

The space group is C2/m (No. 12) and the conventional cell measures 15.9786, 7.5222 and 9.6378 Å, with angles of 90.00, 97.20 and 90.00 degrees. The asymmetric unit holds Ho at (0.0165, 0.0000, 0.2932), Ho at (0.0827, 0.5000, 0.8183), Ho at (0.1413, 0.2371, 0.5529), Ho at (0.1879, 0.2555, 0.1395), Tl at (0.0000, 0.2187, 0.0000), Hg at (0.0000, 0.5000, 0.5000), Hg at (0.1611, 0.0000, 0.8663) and Hg at (0.2247, 0.0000, 0.3654).



Record 5
# HoTmTlHg

Crystalline HoTmTlHg at its relaxed geometry (PBE, the Alexandria database).

The value obtained for the density of states at the Fermi level is 17.83 states/eV/cell. The calculation puts the energy relative to the elements at -389 meV per atom. Its relative energy among the computed polymorphs is 0.007 eV/atom. As for the total energy: -3.318 eV per atom.

The space group is F-43m (No. 216) and the conventional cell measures 7.4652, 7.4652 and 7.4652 Å, with angles of 90.00, 90.00 and 90.00 degrees. The asymmetric unit holds Ho at (0.0000, 0.0000, 0.0000), Tm at (0.0000, 0.0000, 0.5000), Tl at (0.2500, 0.2500, 0.2500) and Hg at (0.2500, 0.2500, 0.7500).



Record 6
# HoTmTlHg

Crystalline HoTmTlHg at its relaxed geometry (PBE, the Alexandria database).

The value obtained for the density of states at the Fermi level is 3.95 states/eV/cell. The calculation puts the energy relative to the elements at -396 meV per atom. Its relative energy among the computed polymorphs is 0.000 eV/atom. As for the total energy: -3.325 eV per atom.

The space group is P4mm (No. 99) and the conventional cell measures 3.7346, 3.7346 and 7.4502 Å, with angles of 90.00, 90.00 and 90.00 degrees. The asymmetric unit holds Ho at (0.0000, 0.0000, 0.0000), Tm at (0.0000, 0.0000, 0.4820), Tl at (0.5000, 0.5000, 0.7387) and Hg at (0.5000, 0.5000, 0.2456).



Record 7
# HoTlZnHg

Crystalline HoTlZnHg at its relaxed geometry (PBE, the Alexandria database).

The value obtained for the density of states at the Fermi level is 1.27 states/eV/cell. The calculation puts the energy relative to the elements at -189 meV per atom. As for the total energy: -2.319 eV per atom.

The space group is F-43m (No. 216) and the conventional cell measures 7.1746, 7.1746 and 7.1746 Å, with angles of 90.00, 90.00 and 90.00 degrees. The asymmetric unit holds Ho at (0.0000, 0.0000, 0.0000), Tl at (0.2500, 0.2500, 0.7500), Zn at (0.0000, 0.0000, 0.5000) and Hg at (0.2500, 0.2500, 0.2500).



Record 8
# Ho3TmHg7

Crystalline Ho3TmHg7 at its relaxed geometry (PBE, the Alexandria database).

The value obtained for the density of states at the Fermi level is 42.07 states/eV/cell. The calculation puts the energy relative to the elements at -210 meV per atom. As for the total energy: -2.057 eV per atom.

The space group is Cmcm (No. 63) and the conventional cell measures 3.6022, 31.3037 and 12.4582 Å, with angles of 90.00, 90.00 and 90.00 degrees. The asymmetric unit holds Ho at (0.0000, 0.0675, 0.0478), Ho at (0.0000, 0.1872, 0.7500), Tm at (0.0000, 0.0721, 0.7500), Hg at (0.0000, 0.2706, 0.0780), Hg at (0.0000, 0.3727, 0.0982), Hg at (0.0000, 0.4183, 0.7500) and Hg at (0.0000, 0.4883, 0.1192).



Record 9
# HoTm5Hg4

Crystalline HoTm5Hg4 at its relaxed geometry (PBE, the Alexandria database).

The value obtained for the density of states at the Fermi level is 11.10 states/eV/cell. The calculation puts the energy relative to the elements at -370 meV per atom. As for the total energy: -3.184 eV per atom.

The space group is P4/mmm (No. 123) and the conventional cell measures 3.6234, 3.6234 and 19.9461 Å, with angles of 90.00, 90.00 and 90.00 degrees. The asymmetric unit holds Ho at (0.0000, 0.0000, 0.0000), Tm at (0.5000, 0.5000, 0.1218), Tm at (0.5000, 0.5000, 0.3123), Tm at (0.5000, 0.5000, 0.5000), Hg at (0.0000, 0.0000, 0.2159) and Hg at (0.0000, 0.0000, 0.4054).



Record 10
# HoTm2Hg4

Crystalline HoTm2Hg4 at its relaxed geometry (PBE, the Alexandria database).

The value obtained for the density of states at the Fermi level is 12.69 states/eV/cell. The calculation puts the energy relative to the elements at 70 meV per atom. Its relative energy among the computed polymorphs is 0.397 eV/atom. As for the total energy: -2.034 eV per atom.

The space group is I4/mmm (No. 139) and the conventional cell measures 5.5840, 5.5840 and 15.1857 Å, with angles of 90.00, 90.00 and 90.00 degrees. The asymmetric unit holds Ho at (0.0000, 0.0000, 0.0000), Tm at (0.0000, 0.0000, 0.3986), Hg at (0.0000, 0.0000, 0.2005) and Hg at (0.0000, 0.5000, 0.0000).



Record 11
# Ho2TmHg

Crystalline Ho2TmHg at its relaxed geometry (PBE, the Alexandria database).

The value obtained for the density of states at the Fermi level is 5.34 states/eV/cell. The calculation puts the energy relative to the elements at -114 meV per atom. Its relative energy among the computed polymorphs is 0.107 eV/atom. As for the total energy: -3.597 eV per atom.

The space group is P4/mmm (No. 123) and the conventional cell measures 5.2995, 5.2995 and 3.9188 Å, with angles of 90.00, 90.00 and 90.00 degrees. The asymmetric unit holds Ho at (0.0000, 0.5000, 0.0000), Tm at (0.0000, 0.0000, 0.5000) and Hg at (0.5000, 0.5000, 0.5000).



Record 12
# Ho2TmHg

Crystalline Ho2TmHg at its relaxed geometry (PBE, the Alexandria database).

The value obtained for the density of states at the Fermi level is 15.90 states/eV/cell. The calculation puts the energy relative to the elements at -159 meV per atom. Its relative energy among the computed polymorphs is 0.062 eV/atom. As for the total energy: -3.641 eV per atom.

The space group is R3m (No. 160, hexagonal axes) and the conventional cell measures 3.6127, 3.6127 and 31.1229 Å, with angles of 90.00, 90.00 and 120.00 degrees. The asymmetric unit holds Ho at (0.0000, 0.0000, 0.0000), Ho at (0.0000, 0.0000, 0.1799), Tm at (0.0000, 0.0000, 0.4232) and Hg at (0.0000, 0.0000, 0.5897).